VASP calculation (PBE) on a relaxed structure of Tl2VSn.

Unit cell a=5.234 b=5.234 c=5.234 alpha=60.00 beta=60.00 gamma=60.00
Site moments in Bohr magnetons follow the coordinates.
Sites, in units of the cell vectors:
Tl (0.250, 0.250, 0.250)  -0.01
Tl (0.750, 0.750, 0.750)  -0.01
Sn (0.500, 0.500, 0.500)  -0.08
V (0.000, 0.000, 0.000)  2.88

Properties
Formation enthalpy at 0 K   528 meV/atom
Theoretical density   9.5 g/cm3
Space-group type   Fm-3m
Offset from the most stable computed form   0.000 eV per atom